The following is a GGA-PBEsol calculation of crystalline Be2ZnCr at its relaxed geometry, from Alexandria via LeMat-Bulk.

Cell lengths 3.2381, 3.5146, 3.5146 Å; angles 90.00, 90.00, 90.00 degrees
Closest atoms and distances in Å follow each position.
Element x y z (fractional)
Be 0.0000 0.5000 0.0000  4 Cr 2.39, 4 Zn 2.39, 4 Be 2.49
Be 0.0000 0.0000 0.5000  4 Zn 2.39, 4 Cr 2.39, 4 Be 2.49
Zn 0.5000 0.0000 0.0000  8 Be 2.39, 4 Cr 2.49
Cr 0.5000 0.5000 0.5000  8 Be 2.39, 4 Zn 2.49

Mass density = 5.62 g cm⁻³
ΔE_f = 0.03 eV per atom